NbCrCd2S: optimized geometry, GGA-PBE.

abc: 5.4780 5.4780 4.5055
angles: 90.00 90.00 90.00
Sites, in units of the cell vectors:
Nb  0.0000  0.0000  0.0000
Cr  0.0000  0.0000  0.5000
Cd  0.0000  0.5000  0.0000
Cd  0.5000  0.0000  0.0000
S  0.5000  0.5000  0.5000

Summary:
- final energy (eV per cell) = -19.020
- space group = P4/mmm, No. 123
- crystal system = tetragonal
- E_form (uncorrected) (eV per atom) = 1.326